(1)
# La2Pr3Mg3, relaxed, DFT GGA-PBE
# Density of states at the Fermi level (states/eV/cell): 21.26
# Formation energy (eV/atom): -0.064
# Magnetic moment (μB/cell): 0.00
# Mass density (g cm⁻³): 4.992
data_La2Pr3Mg3
_chemical_formula_sum 'La4 Pr6 Mg6'
_cell_length_a 3.943
_cell_length_b 5.630
_cell_length_c 23.173
_cell_angle_alpha 90.00
_cell_angle_beta 90.00
_cell_angle_gamma 90.00
_symmetry_space_group_name_H-M 'I m m m'
_symmetry_Int_Tables_number 71
_symmetry_space_group_name_Hall '-I 2 2'
loop_
_atom_site_label
_atom_site_fract_x
_atom_site_fract_y
_atom_site_fract_z
_atom_site_occupancy
La1 0.000 0.000 0.235 1
Pr1 0.000 0.000 0.000 1
Pr2 0.000 0.500 0.121 1
Mg1 0.000 0.000 0.500 1
Mg2 0.000 0.500 0.384 1

---

(2)
# LaPr14Mg, relaxed, DFT GGA-PBE
# Density of states at the Fermi level (states/eV/cell): 39.20
# Formation energy (eV/atom): 0.001
# Magnetic moment (μB/cell): 0.00
# Mass density (g cm⁻³): 6.270
data_LaPr14Mg
_chemical_formula_sum 'La2 Pr28 Mg2'
_cell_length_a 10.469
_cell_length_b 10.395
_cell_length_c 10.396
_cell_angle_alpha 90.00
_cell_angle_beta 90.00
_cell_angle_gamma 90.00
_symmetry_space_group_name_H-M 'A m m 2'
_symmetry_Int_Tables_number 38
loop_
_symmetry_equiv_pos_as_xyz
'x,y,z'
'-x,-y,z'
'-x,y,z'
'x,-y,z'
'x,y+1/2,z+1/2'
'-x,-y+1/2,z+1/2'
'-x,y+1/2,z+1/2'
'x,-y+1/2,z+1/2'
loop_
_atom_site_label
_atom_site_fract_x
_atom_site_fract_y
_atom_site_fract_z
_atom_site_occupancy
La1 0.000 0.000 0.000 1
Pr1 0.000 0.250 0.250 1
Pr2 0.247 0.000 0.253 1
Pr3 0.247 0.248 0.500 1
Pr4 0.248 0.000 0.748 1
Pr5 0.500 0.000 0.000 1
Pr6 0.500 0.000 0.500 1
Pr7 0.500 0.250 0.250 1
Mg1 0.000 0.000 0.500 1

---

(3)
# La6PrMg, relaxed, DFT GGA-PBE
# Energy relative to the lowest polymorph listed for this composition (meV/atom): 0.0
# Density of states at the Fermi level (states/eV/cell): 9.41
# Formation energy (eV/atom): -0.010
# Magnetic moment (μB/cell): 0.00
# Mass density (g cm⁻³): 5.906
data_La6PrMg
_chemical_formula_sum 'La6 Pr1 Mg1'
_cell_length_a 5.201
_cell_length_b 5.201
_cell_length_c 10.379
_cell_angle_alpha 90.00
_cell_angle_beta 90.00
_cell_angle_gamma 90.00
_symmetry_space_group_name_H-M 'P 4/m m m'
_symmetry_Int_Tables_number 123
_symmetry_space_group_name_Hall '-P 4 2'
loop_
_atom_site_label
_atom_site_fract_x
_atom_site_fract_y
_atom_site_fract_z
_atom_site_occupancy
La1 0.000 0.000 0.000 1
La2 0.000 0.000 0.500 1
La3 0.000 0.500 0.247 1
Pr1 0.500 0.500 0.500 1
Mg1 0.500 0.500 0.000 1

---

(4)
# La2PrMg3, relaxed, DFT GGA-PBE
# Density of states at the Fermi level (states/eV/cell): 7.24
# Formation energy (eV/atom): -0.114
# Magnetic moment (μB/cell): 0.00
# Mass density (g cm⁻³): 4.419
data_La2PrMg3
_chemical_formula_sum 'La2 Pr1 Mg3'
_cell_length_a 3.947
_cell_length_b 3.947
_cell_length_c 11.857
_cell_angle_alpha 90.00
_cell_angle_beta 90.00
_cell_angle_gamma 90.00
_symmetry_space_group_name_H-M 'P 4/m m m'
_symmetry_Int_Tables_number 123
_symmetry_space_group_name_Hall '-P 4 2'
loop_
_atom_site_label
_atom_site_fract_x
_atom_site_fract_y
_atom_site_fract_z
_atom_site_occupancy
La1 0.000 0.000 0.168 1
Pr1 0.000 0.000 0.500 1
Mg1 0.500 0.500 0.000 1
Mg2 0.500 0.500 0.337 1

---

(5)
# La6Pr2Mg, relaxed, DFT GGA-PBE
# Energy relative to the lowest polymorph listed for this composition (meV/atom): 0.0
# Density of states at the Fermi level (states/eV/cell): 28.09
# Formation energy (eV/atom): 0.004
# Magnetic moment (μB/cell): 0.00
# Mass density (g cm⁻³): 5.923
data_La6Pr2Mg
_chemical_formula_sum 'La12 Pr4 Mg2'
_cell_length_a 6.937
_cell_length_b 9.517
_cell_length_c 11.211
_cell_angle_alpha 112.96
_cell_angle_beta 105.21
_cell_angle_gamma 96.22
_symmetry_space_group_name_H-M 'P -1'
_symmetry_Int_Tables_number 2
loop_
_symmetry_equiv_pos_as_xyz
'x,y,z'
'-x,-y,-z'
loop_
_atom_site_label
_atom_site_fract_x
_atom_site_fract_y
_atom_site_fract_z
_atom_site_occupancy
La1 0.036 0.310 0.444 1
La2 0.055 0.306 0.111 1
La3 0.278 0.028 0.556 1
La4 0.291 0.029 0.892 1
La5 0.400 0.637 0.108 1
La6 0.408 0.634 0.443 1
Pr1 0.047 0.311 0.771 1
Pr2 0.277 0.041 0.229 1
Mg1 0.390 0.640 0.780 1

---

(6)
# La2Pr7Mg2, relaxed, DFT GGA-PBE
# Energy relative to the lowest polymorph listed for this composition (meV/atom): 0.0
# Density of states at the Fermi level (states/eV/cell): 33.05
# Formation energy (eV/atom): 0.047
# Magnetic moment (μB/cell): 0.00
# Mass density (g cm⁻³): 5.746
data_La2Pr7Mg2
_chemical_formula_sum 'La4 Pr14 Mg4'
_cell_length_a 8.996
_cell_length_b 10.017
_cell_length_c 8.863
_cell_angle_alpha 90.00
_cell_angle_beta 108.18
_cell_angle_gamma 90.00
_symmetry_space_group_name_H-M 'C 1 2/m 1'
_symmetry_Int_Tables_number 12
loop_
_symmetry_equiv_pos_as_xyz
'x,y,z'
'-x,-y,-z'
'-x,y,-z'
'x,-y,z'
'x+1/2,y+1/2,z'
'-x+1/2,-y+1/2,-z'
'-x+1/2,y+1/2,-z'
'x+1/2,-y+1/2,z'
loop_
_atom_site_label
_atom_site_fract_x
_atom_site_fract_y
_atom_site_fract_z
_atom_site_occupancy
La1 0.000 0.179 0.000 1
Pr1 0.000 0.500 0.500 1
Pr2 0.141 0.500 0.914 1
Pr3 0.209 0.177 0.675 1
Mg1 0.115 0.000 0.335 1